#A
Here is an optimized crystal structure of Cd2C from the Alexandria database. Energies are from PBE.

Results
Total magnetic moment, μB/atom: 0.00
Crystal system: hexagonal
Density, g/cm3: 7.89

abc: 6.490 6.490 4.098
angles: 90.00 90.00 120.00
Fractional positions:
C1 0.667 0.333 0.000
C2 0.000 0.000 0.500
C3 0.333 0.667 0.000
Cd1 0.000 0.618 0.500
Cd2 0.618 0.000 0.500
Cd3 0.279 0.000 0.000
Cd4 0.721 0.721 0.000
Cd5 0.000 0.279 0.000
Cd6 0.382 0.382 0.500


#B
Here is an optimized crystal structure of Cd2C from the Alexandria database. Energies are from PBE.

Results
Total magnetic moment, μB/atom: 0.00
Crystal system: orthorhombic
Density, g/cm3: 7.40

abc: 5.868 5.868 5.732
angles: 90.00 90.00 147.42
Fractional positions:
Cd1 0.259 0.741 0.113
Cd2 0.480 0.520 0.641
Cd3 0.741 0.259 0.613
Cd4 0.520 0.480 0.141
C1 0.885 0.115 0.912
C2 0.115 0.885 0.412


The structure with the most favorable energy is #B; the runner-up is 0.075 eV/atom above it.


#A
Here is an optimized crystal structure of LiAuBr2 from the Alexandria database. Energies are from PBE.

Results
Total magnetic moment, μB/atom: 0.00
Crystal system: orthorhombic
Density, g/cm3: 5.48

abc: 5.633 5.633 5.633
angles: 138.76 96.79 97.46
Fractional positions:
Br1 0.995 0.995 0.000
Br2 0.505 0.505 0.000
Li1 0.750 0.250 0.500
Au1 0.250 0.750 0.500


#B
Here is an optimized crystal structure of LiAuBr2 from the Alexandria database. Energies are from PBE.

Results
Total magnetic moment, μB/atom: 0.00
Crystal system: orthorhombic
Density, g/cm3: 5.42

abc: 4.287 4.287 7.421
angles: 90.00 90.00 125.16
Fractional positions:
Br1 0.000 0.000 0.492
Br2 0.000 0.000 0.008
Au1 0.500 0.500 0.750
Li1 0.500 0.500 0.250


The structure with the most favorable energy is #A; the runner-up is 0.008 eV/atom above it.